# 1
La4Ce3HoTe8 | PBE-GGA | optimized geometry

Geometry as CIF:
```
data_La4Ce3HoTe8
_symmetry_space_group_name_H-M 'R -3 m'
_symmetry_Int_Tables_number 166
_symmetry_space_group_name_Hall '-R 3 2"'
_cell_length_a 9.0164
_cell_length_b 9.0164
_cell_length_c 22.2299
_cell_angle_alpha 90.00
_cell_angle_beta 90.00
_cell_angle_gamma 120.00
loop_
_atom_site_label
_atom_site_type_symbol
_atom_site_fract_x
_atom_site_fract_y
_atom_site_fract_z
La1 La 0.0000 0.0000 0.0000
La2 La 0.0000 0.5000 0.0000
Ce1 Ce 0.0000 0.5000 0.5000
Ho1 Ho 0.0000 0.0000 0.5000
Te1 Te 0.0000 0.0000 0.2481
Te2 Te 0.0060 0.5030 0.2466
```

Results
Energy relative to the elements, uncorrected ... -1465 meV per atom
Volume ... 32.61 Å³/atom
M_tot ... 10.5 Bohr magnetons per cell
Total energy ... -5.666 eV per atom

=====

# 2
Tb4Nd2DySc | PBE-GGA | optimized geometry

Geometry as CIF:
```
data_Tb4Nd2DySc
_symmetry_space_group_name_H-M 'P 4/m m m'
_symmetry_Int_Tables_number 123
_symmetry_space_group_name_Hall '-P 4 2'
_cell_length_a 5.029
_cell_length_b 5.029
_cell_length_c 10.023
_cell_angle_alpha 90.00
_cell_angle_beta 90.00
_cell_angle_gamma 90.00
loop_
_atom_site_label
_atom_site_type_symbol
_atom_site_fract_x
_atom_site_fract_y
_atom_site_fract_z
Tb1 Tb 0.000 0.500 0.246
Nd1 Nd 0.000 0.000 0.000
Nd2 Nd 0.500 0.500 0.500
Dy1 Dy 0.000 0.000 0.500
Sc1 Sc 0.500 0.500 0.000
```

Results
Calculated formation energy ... 0.26 eV per formula unit
Volume ... 31.68 Å³/atom
M_tot ... 0.0 Bohr magnetons per cell
Total energy ... -4.842 eV per atom

=====

# 3
LiTbTeSe | PBE-GGA | optimized geometry

Geometry as CIF:
```
data_LiTbTeSe
_symmetry_space_group_name_H-M 'R 3 m'
_symmetry_Int_Tables_number 160
_symmetry_space_group_name_Hall 'R 3 -2"'
_cell_length_a 4.2193
_cell_length_b 4.2193
_cell_length_c 20.3884
_cell_angle_alpha 90.00
_cell_angle_beta 90.00
_cell_angle_gamma 120.00
loop_
_atom_site_label
_atom_site_type_symbol
_atom_site_fract_x
_atom_site_fract_y
_atom_site_fract_z
Li1 Li 0.0000 0.0000 0.0000
Tb1 Tb 0.0000 0.0000 0.5108
Te1 Te 0.0000 0.0000 0.7511
Se1 Se 0.0000 0.0000 0.2539
```

Results
Energy relative to the elements, uncorrected ... -1484 meV per atom
Volume ... 26.19 Å³/atom
M_tot ... 0.0 Bohr magnetons per cell
Total energy ... -4.776 eV per atom

=====

# 4
CaZrF2 | PBE-GGA | optimized geometry

Geometry as CIF:
```
data_CaZrF2
_symmetry_space_group_name_H-M 'I -4 2 d'
_symmetry_Int_Tables_number 122
_symmetry_space_group_name_Hall 'I -4 2bw'
_cell_length_a 5.473
_cell_length_b 5.473
_cell_length_c 10.270
_cell_angle_alpha 90.00
_cell_angle_beta 90.00
_cell_angle_gamma 90.00
loop_
_atom_site_label
_atom_site_type_symbol
_atom_site_fract_x
_atom_site_fract_y
_atom_site_fract_z
Ca1 Ca 0.000 0.000 0.000
Zr1 Zr 0.000 0.000 0.500
F1 F 0.236 0.250 0.125
```

Results
Polymorph energy (0 for the lowest one) ... 0.473 eV per atom
Energy relative to the elements, uncorrected ... -1928 meV per atom
Volume ... 19.23 Å³/atom
M_tot ... 0.0 Bohr magnetons per cell
Total energy ... -5.501 eV per atom

=====

# 5
KScSe2Br | PBE-GGA | optimized geometry

Geometry as CIF:
```
data_KScSe2Br
_symmetry_space_group_name_H-M 'P 4/m m m'
_symmetry_Int_Tables_number 123
_symmetry_space_group_name_Hall '-P 4 2'
_cell_length_a 5.560
_cell_length_b 5.560
_cell_length_c 5.508
_cell_angle_alpha 90.00
_cell_angle_beta 90.00
_cell_angle_gamma 90.00
loop_
_atom_site_label
_atom_site_type_symbol
_atom_site_fract_x
_atom_site_fract_y
_atom_site_fract_z
K1 K 0.000 0.000 0.000
Sc1 Sc 0.500 0.500 0.500
Se1 Se 0.000 0.500 0.000
Br1 Br 0.000 0.000 0.500
```

Results
Polymorph energy (0 for the lowest one) ... 1.559 eV per atom
Energy relative to the elements, uncorrected ... 256 meV per atom
Volume ... 34.05 Å³/atom
M_tot ... 0.9 Bohr magnetons per cell
Total energy ... -2.958 eV per atom

=====

# 6
ScSiPb2 | PBE-GGA | optimized geometry

Geometry as CIF:
```
data_ScSiPb2
_symmetry_space_group_name_H-M 'C m m m'
_symmetry_Int_Tables_number 65
_symmetry_space_group_name_Hall '-C 2 2'
_cell_length_a 6.982
_cell_length_b 8.079
_cell_length_c 3.442
_cell_angle_alpha 90.00
_cell_angle_beta 90.00
_cell_angle_gamma 90.00
loop_
_atom_site_label
_atom_site_type_symbol
_atom_site_fract_x
_atom_site_fract_y
_atom_site_fract_z
Sc1 Sc 0.000 0.000 0.000
Si1 Si 0.000 0.500 0.000
Pb1 Pb 0.250 0.250 0.500
```

Results
Energy relative to the elements, uncorrected ... 98 meV per atom
Volume ... 24.27 Å³/atom
M_tot ... 0.0 Bohr magnetons per cell
Total energy ... -4.695 eV per atom